Density functional theory data (PBE) for an optimized crystal structure of ReGeBr2.

Cell lengths 6.7159, 6.7159, 6.7159 Å; angles 90.00, 90.00, 90.00 degrees
Space group Fm-3m (No. 225)
One atom of each set of equivalent atoms:
Re (0.0000, 0.0000, 0.0000) [4 per cell]
Ge (0.0000, 0.0000, 0.5000) [4 per cell]
Br (0.2500, 0.2500, 0.2500) [8 per cell]

- Formation energy without anion corrections: 1215 meV per atom
- E: -3.89 eV per atom

=====

Density functional theory data (PBE) for an optimized crystal structure of LiPt2Cl.

Cell lengths 3.3828, 3.4503, 13.7779 Å; angles 90.00, 90.00, 90.00 degrees
Space group Immm (No. 71)
One atom of each set of equivalent atoms:
Li (0.0000, 0.0000, 0.0000) [2 per cell]
Pt (0.0000, 0.5000, 0.2801) [4 per cell]
Cl (0.0000, 0.0000, 0.5000) [2 per cell]

- Formation energy without anion corrections: -332 meV per atom
- E: -4.29 eV per atom

=====

Density functional theory data (PBE) for an optimized crystal structure of TaTe2PtN.

Cell lengths 5.4808, 5.4808, 3.6598 Å; angles 90.00, 90.00, 90.00 degrees
Space group P4/mmm (No. 123)
One atom of each set of equivalent atoms:
Ta (0.0000, 0.0000, 0.0000) [1 per cell]
Te (0.0000, 0.5000, 0.5000) [2 per cell]
Pt (0.5000, 0.5000, 0.5000) [1 per cell]
N (0.5000, 0.5000, 0.0000) [1 per cell]

- Formation energy without anion corrections: 866 meV per atom
- E: -5.63 eV per atom

=====

Density functional theory data (PBE) for an optimized crystal structure of Li2TlP.

Cell lengths 4.2508, 4.2508, 15.6130 Å; angles 90.00, 90.00, 120.00 degrees
Space group R3m (No. 160, hexagonal axes)
One atom of each set of equivalent atoms:
Li (0.0000, 0.0000, 0.0000) [3 per cell]
Li (0.0000, 0.0000, 0.2626) [3 per cell]
Tl (0.0000, 0.0000, 0.4564) [3 per cell]
P (0.0000, 0.0000, 0.6411) [3 per cell]

- E: -3.24 eV per atom

=====

Density functional theory data (PBE) for an optimized crystal structure of HoZrSi2.

Cell lengths 3.8006, 3.9965, 10.2272 Å; angles 90.00, 90.00, 90.00 degrees
Space group Amm2 (No. 38)
One atom of each set of equivalent atoms:
Ho (0.0000, 0.0000, 0.0000) [2 per cell]
Zr (0.5000, 0.0000, 0.7174) [2 per cell]
Si (0.0000, 0.0000, 0.2757) [2 per cell]
Si (0.5000, 0.0000, 0.4327) [2 per cell]

- Formation energy without anion corrections: -836 meV per atom
- E: -6.83 eV per atom

=====

Density functional theory data (PBE) for an optimized crystal structure of Li2TcCI.

Cell lengths 5.4071, 5.4071, 3.8185 Å; angles 90.00, 90.00, 90.00 degrees
Space group P4/mmm (No. 123)
One atom of each set of equivalent atoms:
Li (0.0000, 0.5000, 0.0000) [2 per cell]
Tc (0.0000, 0.0000, 0.0000) [1 per cell]
C (0.0000, 0.0000, 0.5000) [1 per cell]
I (0.5000, 0.5000, 0.5000) [1 per cell]

- Formation energy without anion corrections: 707 meV per atom
- E: -4.29 eV per atom

=====

Number 1: spin magnetization 0.00 μB/atom. Number 2: spin magnetization 0.00 μB/atom. Number 3: spin magnetization 0.33 μB/atom. Number 4: spin magnetization 0.00 μB/atom. Number 5: spin magnetization 0.00 μB/atom. Number 6: spin magnetization 0.40 μB/atom.